[1]
First-principles (PBE) data for Pa2Bi2PbN2 after structural relaxation, as listed in the Alexandria database.

Unit cell a=3.7553 b=3.7553 c=15.1062 alpha=90.00 beta=90.00 gamma=120.00
Closest atoms and distances in Å follow each position.
Atoms (fractional coordinates):
Pa 0.6667 0.3333 0.1911  3 N 2.17
Pa 0.3333 0.6667 0.8089  3 N 2.17
Bi 0.0000 0.0000 0.3773  3 Pa 3.55, 3 N 3.62, 7 Bi 3.71-3.76
Bi 0.0000 0.0000 0.6227  3 Pa 3.55, 3 N 3.62, 7 Bi 3.71-3.76
Pb 0.0000 0.0000 0.0000  6 N 3.54, 6 Pa 3.61, 6 Pb 3.76
N 0.6667 0.3333 0.8148  3 Pa 2.17
N 0.3333 0.6667 0.1852  3 Pa 2.17

As for the formation energy without anion corrections: -0.64 eV per atom.

=====

[2]
First-principles (PBE) data for Pm2PaBi2N2 after structural relaxation, as listed in the Alexandria database.

Unit cell a=4.4310 b=4.4310 c=8.9455 alpha=104.34 beta=104.34 gamma=90.00
Closest atoms and distances in Å follow each position.
Atoms (fractional coordinates):
Pm 0.3930 0.3930 0.7861  4 N 2.85
Pm 0.6070 0.6070 0.2139  4 N 2.85
Pa 0.0000 0.0000 0.0000  4 N 2.22
Bi 0.1934 0.1934 0.3868  1 Pa 3.24, 5 Pm 3.35-3.45
Bi 0.8066 0.8066 0.6132  1 Pa 3.24, 5 Pm 3.35-3.45
N 0.0000 0.5000 0.0000  2 Pa 2.22
N 0.5000 0.0000 0.0000  2 Pa 2.22

As for the formation energy without anion corrections: -1.06 eV per atom.

=====

Record order is preserved below.
Total magnetic moment: 0.0, 0.0 μB/f.u.